The following is a PBE calculation of a geometry-optimized Si3Te5 structure, from the Alexandria database.

Calculated values
Energy relative to the lowest polymorph listed for this composition (meV per atom): 273
Raw formation energy (eV/atom): 0.45

Structure (POSCAR):
```
Si3Te5
1.0
-1.5480 2.9579 1.5541
-2.8226 -0.2411 -2.3526
-7.1313 -8.6957 9.4471
Si Te
3 5
Direct
0.0000 0.0000 0.5000
0.5000 0.5000 0.1344
0.5000 0.5000 0.8656
0.0000 0.0000 0.0000
0.0000 0.0000 0.2223
0.0000 0.0000 0.7777
0.5000 0.5000 0.3922
0.5000 0.5000 0.6078
```

***

The following is a PBE calculation of a geometry-optimized Si5Te4 structure, from the Alexandria database.

Calculated values
Energy relative to the lowest polymorph listed for this composition (meV per atom): 192
Raw formation energy (eV/atom): 0.58

Structure (POSCAR):
```
Si5Te4
1.0
8.8381 0.0000 0.0000
-4.4191 7.6541 0.0000
0.0000 0.0000 5.9202
Si Te
10 8
Direct
0.0000 0.6946 0.2500
0.3054 0.3054 0.2500
0.6946 0.0000 0.2500
0.0000 0.3054 0.7500
0.6946 0.6946 0.7500
0.3054 0.0000 0.7500
0.6667 0.3333 0.0000
0.3333 0.6667 0.5000
0.3333 0.6667 0.0000
0.6667 0.3333 0.5000
0.0000 0.0000 0.0000
0.0000 0.0000 0.5000
0.0000 0.3713 0.2500
0.6287 0.6287 0.2500
0.3713 0.0000 0.2500
0.0000 0.6287 0.7500
0.3713 0.3713 0.7500
0.6287 0.0000 0.7500
```

***

The following is a PBE calculation of a geometry-optimized Si3Te5 structure, from the Alexandria database.

Calculated values
Energy relative to the lowest polymorph listed for this composition (meV per atom): 311
Raw formation energy (eV/atom): 0.49

Structure (POSCAR):
```
Si3Te5
1.0
2.7156 3.0005 -4.9791
-6.0088 2.1901 0.5162
1.6587 3.7980 3.1934
Si Te
3 5
Direct
0.5000 0.5000 0.0000
0.7030 0.2970 0.5000
0.2970 0.7030 0.5000
0.0000 0.0000 0.0000
0.0000 0.5000 0.0000
0.5000 0.0000 0.0000
0.2735 0.2735 0.5000
0.7265 0.7265 0.5000
```